Here is crystalline ZrNi2Pd4 at its relaxed geometry from the Alexandria database. Energies are from PBE-GGA.

a = 5.300 Å, b = 8.840 Å, c = 4.727 Å
α = 90.00°, β = 92.34°, γ = 90.00°
Fractional positions:
1 Zr 0.000 0.000 0.000
2 Zr 0.500 0.500 0.000
3 Ni 0.037 0.500 0.256
4 Ni 0.463 0.000 0.744
5 Ni 0.537 0.000 0.256
6 Ni 0.963 0.500 0.744
7 Pd 0.000 0.176 0.500
8 Pd 0.000 0.824 0.500
9 Pd 0.250 0.250 0.000
10 Pd 0.250 0.750 0.000
11 Pd 0.500 0.324 0.500
12 Pd 0.500 0.676 0.500
13 Pd 0.750 0.250 0.000
14 Pd 0.750 0.750 0.000

## Properties
Crystal system = monoclinic
Formation energy = -0.1251 eV per atom
Total magnetization = 0.111 μB per atom
Fermi-level density of states = 0.84 states/eV per atom
Density = 9.5 Mg/m³
Electronic total energy = -5.97 eV/atom

=====

Here is crystalline SrVAu at its relaxed geometry from the Alexandria database. Energies are from PBE-GGA.

a = 3.767 Å, b = 3.767 Å, c = 10.450 Å
α = 90.00°, β = 90.00°, γ = 90.00°
Fractional positions:
1 Sr 0.000 0.000 0.186
2 Sr 0.000 0.000 0.814
3 V 0.500 0.500 0.411
4 V 0.500 0.500 0.589
5 Au 0.000 0.000 0.500
6 Au 0.500 0.500 0.000

## Properties
Crystal system = tetragonal
Formation energy = 0.0057 eV per atom
Total magnetization = 0.000 μB per atom
Fermi-level density of states = 0.82 states/eV per atom
ΔE to the lowest computed polymorph = 36 meV per atom
Density = 7.5 Mg/m³
Electronic total energy = -4.69 eV/atom

=====

Here is crystalline CoSiSe2 at its relaxed geometry from the Alexandria database. Energies are from PBE-GGA.

a = 3.076 Å, b = 3.076 Å, c = 6.864 Å
α = 90.00°, β = 90.00°, γ = 90.00°
Fractional positions:
1 Co 0.000 0.000 0.000
2 Si 0.000 0.000 0.500
3 Se 0.500 0.500 0.212
4 Se 0.500 0.500 0.788

## Properties
Crystal system = tetragonal
Total magnetization = 0.056 μB per atom
Fermi-level density of states = 0.80 states/eV per atom
Density = 6.3 Mg/m³
Formation energy from raw total energies = 420 meV per atom
Electronic total energy = -4.45 eV/atom